Record 1
Entry from Alexandria: a relaxed AcDyYTe3 crystal (PBE).

a = 4.416 Å, b = 8.733 Å, c = 10.994 Å
α = 107.01°, β = 90.00°, γ = 90.00°
Positions (direct):
Te 0.750 0.902 0.105
Y 0.750 0.848 0.376
Dy 0.250 0.661 0.095
Te 0.250 0.098 0.895
Te 0.250 0.775 0.540
Te 0.750 0.225 0.460
Y 0.250 0.152 0.624
Te 0.750 0.486 0.200
Ac 0.750 0.810 0.778
Te 0.250 0.514 0.800
Dy 0.750 0.339 0.905
Ac 0.250 0.190 0.222

total magnetic moment: 0.001 μB/cell
ΔE_f (raw): -1283.5 meV/atom
crystal system: monoclinic
calculated total energy: -0.396 Ry/atom
theoretical density: 7.055 g/cm3

***

Record 2
Entry from Alexandria: a relaxed Ag7As6 crystal (PBE).

a = 10.023 Å, b = 10.023 Å, c = 10.023 Å
α = 32.42°, β = 32.42°, γ = 32.42°
Positions (direct):
As 0.829 0.829 0.829
Ag 0.584 0.584 0.081
As 0.337 0.337 0.337
Ag 0.081 0.584 0.584
As 0.663 0.663 0.663
As 0.955 0.955 0.955
Ag 0.584 0.081 0.584
As 0.171 0.171 0.171
As 0.045 0.045 0.045
Ag 0.919 0.416 0.416
Ag 0.416 0.919 0.416
Ag 0.500 0.500 0.500
Ag 0.416 0.416 0.919

total magnetic moment: 0.000 μB/cell
ΔH_f (0 K): 0.29 eV per atom
crystal system: trigonal
calculated total energy: -0.249 Ry/atom
theoretical density: 7.771 g/cm3

***

Record 3
Entry from Alexandria: a relaxed ErH8Rh2 crystal (PBE).

a = 3.629 Å, b = 5.480 Å, c = 5.478 Å
α = 59.99°, β = 90.00°, γ = 90.00°
Positions (direct):
H 0.500 0.764 0.472
Er 0.500 0.000 0.000
Rh 0.000 0.771 0.457
H 0.000 0.132 0.258
H 0.000 0.609 0.258
H 0.394 0.500 0.000
H 0.500 0.236 0.528
H 0.000 0.868 0.742
Rh 0.000 0.229 0.543
H 0.606 0.500 0.000
H 0.000 0.391 0.742

total magnetic moment: 0.000 μB/cell
crystal system: orthorhombic
relative energy among the computed polymorphs: 0 meV per atom
calculated total energy: -0.323 Ry/atom
theoretical density: 6.710 g/cm3